VASP calculation (GGA-PBE) on crystalline Rb5MgPb6 at its relaxed geometry.

The structure in extended XYZ format:
```
12
Lattice="3.8654 -7.3585 0.0000 3.8654 7.3585 0.0000 -2.6778 0.0000 9.8679" Properties=species:S:1:pos:R:3 pbc="T T T"
Rb 0.0000 0.0000 0.0000
Rb 2.5265 5.0535 4.9339
Rb 3.8654 3.3708 0.0000
Rb 3.8654 -3.3708 0.0000
Rb 2.5265 -5.0535 4.9339
Mg 2.5265 0.0000 4.9339
Pb 1.8334 1.6655 2.7170
Pb 0.8285 0.0000 8.2282
Pb 1.8334 -1.6655 2.7170
Pb 3.2196 1.6655 7.1509
Pb 4.2245 0.0000 1.6397
Pb 3.2196 -1.6655 7.1509
```

## Properties
Fermi-level density of states	2.82	states/eV/f.u.
total magnetic moment	0.0	μB per formula unit
symmetry	C2/m (12)
crystal system	monoclinic
formation energy from the elements	-0.07	eV/atom